Entry 1:
The following is a PBE calculation of an optimized crystal structure of PrCu2Pt4, from Alexandria via LeMat-Bulk.

a b c (Å): 6.1073 6.1073 6.1073
angles (deg): 99.91 99.91 130.99
Element x y z (fractional)
1 Pt 0.7305 0.5000 0.2305
2 Pt 0.5000 0.2695 0.7695
3 Pt 0.5000 0.7305 0.2305
4 Pt 0.2695 0.5000 0.7695
5 Cu 0.7500 0.2500 0.5000
6 Cu 0.2500 0.7500 0.5000
7 Pr 0.0000 0.0000 0.0000

Properties
- spin magnetization (μB/f.u.) = 0.00
- energy of formation from the pure elements (eV per atom) = 0.0701
- calculated volume (Å³ per atom) = 22.352
- symmetry = I4/mmm, No. 139
- crystal system = tetragonal
- ρ (g cm⁻³) = 11.126
- distance to the lowest polymorph of the same formula (kJ/mol of atoms) = 49.7



Entry 2:
The following is a PBE calculation of an optimized crystal structure of PrCu6Pt2, from Alexandria via LeMat-Bulk.

a b c (Å): 5.1482 5.1482 6.8663
angles (deg): 90.00 90.00 120.00
Element x y z (fractional)
1 Cu 0.0000 0.5000 0.8037
2 Cu 0.0000 0.5000 0.1963
3 Cu 0.5000 0.0000 0.8037
4 Cu 0.5000 0.0000 0.1963
5 Cu 0.5000 0.5000 0.8037
6 Cu 0.5000 0.5000 0.1963
7 Pt 0.3333 0.6667 0.5000
8 Pt 0.6667 0.3333 0.5000
9 Pr 0.0000 0.0000 0.0000

Properties
- spin magnetization (μB/f.u.) = 0.00
- energy of formation from the pure elements (eV per atom) = 0.1531
- calculated volume (Å³ per atom) = 17.511
- symmetry = P6/mmm, No. 191
- crystal system = hexagonal
- ρ (g cm⁻³) = 9.613



Entry 3:
The following is a PBE calculation of an optimized crystal structure of Pr4Cu2Pt, from Alexandria via LeMat-Bulk.

a b c (Å): 5.0765 5.0765 8.9054
angles (deg): 73.44 73.44 60.00
Element x y z (fractional)
1 Cu 0.2441 0.2441 0.2677
2 Cu 0.7559 0.7559 0.7323
3 Pr 0.8757 0.8757 0.3729
4 Pr 0.6252 0.6252 0.1244
5 Pr 0.1243 0.1243 0.6271
6 Pr 0.3748 0.3748 0.8756
7 Pt 0.0000 0.0000 0.0000

Properties
- spin magnetization (μB/f.u.) = 0.00
- energy of formation from the pure elements (eV per atom) = -0.2953
- calculated volume (Å³ per atom) = 26.811
- symmetry = R-3m, No. 166
- crystal system = trigonal
- ρ (g cm⁻³) = 7.837



Entry 4:
The following is a PBE calculation of an optimized crystal structure of Pr3CuPt2, from Alexandria via LeMat-Bulk.

a b c (Å): 4.1144 12.2228 12.0355
angles (deg): 90.00 90.00 90.00
Element x y z (fractional)
1 Cu 0.2500 0.1233 0.1217
2 Cu 0.7500 0.6233 0.3783
3 Cu 0.2500 0.3767 0.6217
4 Cu 0.7500 0.8767 0.8783
5 Pr 0.2500 0.4362 0.3726
6 Pr 0.2500 0.1271 0.5533
7 Pr 0.7500 0.3127 0.7887
8 Pr 0.7500 0.8729 0.4467
9 Pr 0.7500 0.5638 0.6274
10 Pr 0.7500 0.9362 0.1274
11 Pr 0.2500 0.3729 0.0533
12 Pr 0.2500 0.6873 0.2113
13 Pr 0.2500 0.8127 0.7113
14 Pr 0.7500 0.6271 0.9467
15 Pr 0.2500 0.0638 0.8726
16 Pr 0.7500 0.1873 0.2887
17 Pt 0.7500 0.5101 0.1830
18 Pt 0.7500 0.9899 0.6830
19 Pt 0.2500 0.0101 0.3170
20 Pt 0.2500 0.8084 0.9926
21 Pt 0.7500 0.1916 0.0074
22 Pt 0.7500 0.3084 0.5074
23 Pt 0.2500 0.4899 0.8170
24 Pt 0.2500 0.6916 0.4926

Properties
- spin magnetization (μB/f.u.) = 0.00
- energy of formation from the pure elements (eV per atom) = -0.7930
- calculated volume (Å³ per atom) = 25.219
- symmetry = Pnma, No. 62
- crystal system = orthorhombic
- ρ (g cm⁻³) = 9.618



Entry 5:
The following is a PBE calculation of an optimized crystal structure of PrCuPt, from Alexandria via LeMat-Bulk.

a b c (Å): 3.7860 4.3206 7.9223
angles (deg): 90.00 89.99 90.00
Element x y z (fractional)
1 Pr 0.3117 0.2162 0.6597
2 Pr 0.3117 0.7162 0.1332
3 Cu 0.8115 0.7161 0.4684
4 Cu 0.8115 0.2161 0.3245
5 Pt 0.8117 0.7162 0.7890
6 Pt 0.8117 0.2162 0.0039

Properties
- spin magnetization (μB/f.u.) = 0.00
- energy of formation from the pure elements (eV per atom) = -0.6550
- calculated volume (Å³ per atom) = 21.599
- symmetry = Pmma, No. 51
- crystal system = orthorhombic
- ρ (g cm⁻³) = 10.239
- distance to the lowest polymorph of the same formula (kJ/mol of atoms) = 7.0



Entry 6:
The following is a PBE calculation of an optimized crystal structure of PrCuPt3, from Alexandria via LeMat-Bulk.

a b c (Å): 5.3760 8.6329 6.6505
angles (deg): 130.47 113.84 90.00
Element x y z (fractional)
1 Pr 0.2500 0.2821 0.5000
2 Pr 0.7500 0.7179 0.5000
3 Pt 0.7365 0.7365 0.9729
4 Pt 0.2635 0.2635 0.0271
5 Pt 0.2365 0.7365 0.9729
6 Pt 0.7635 0.2635 0.0271
7 Pt 0.2500 0.9165 0.5000
8 Pt 0.7500 0.0835 0.5000
9 Cu 0.5000 0.0000 0.0000
10 Cu 0.0000 0.5000 0.0000

Properties
- spin magnetization (μB/f.u.) = 0.00
- energy of formation from the pure elements (eV per atom) = -0.6006
- calculated volume (Å³ per atom) = 19.893
- symmetry = Imma, No. 74
- crystal system = orthorhombic
- ρ (g cm⁻³) = 13.184
- distance to the lowest polymorph of the same formula (kJ/mol of atoms) = 0.0



Entry 7:
The following is a PBE calculation of an optimized crystal structure of PrCu4Pt2, from Alexandria via LeMat-Bulk.

a b c (Å): 5.8112 5.8112 5.8112
angles (deg): 102.92 102.92 123.55
Element x y z (fractional)
1 Cu 0.2780 0.5000 0.7780
2 Cu 0.7220 0.5000 0.2220
3 Cu 0.5000 0.7220 0.2220
4 Cu 0.5000 0.2780 0.7780
5 Pt 0.2500 0.7500 0.5000
6 Pt 0.7500 0.2500 0.5000
7 Pr 0.0000 0.0000 0.0000

Properties
- spin magnetization (μB/f.u.) = 0.00
- energy of formation from the pure elements (eV per atom) = 0.1396
- calculated volume (Å³ per atom) = 20.586
- symmetry = I4/mmm, No. 139
- crystal system = tetragonal
- ρ (g cm⁻³) = 9.049



Entry 8:
The following is a PBE calculation of an optimized crystal structure of Pr3Cu4Pt2, from Alexandria via LeMat-Bulk.

a b c (Å): 4.2963 5.8449 8.5532
angles (deg): 107.58 90.00 111.56
Element x y z (fractional)
1 Pr 0.3276 0.6553 0.3402
2 Pr 0.6724 0.3447 0.6598
3 Pr 0.0000 0.0000 0.0000
4 Cu 0.0437 0.0874 0.3866
5 Cu 0.7249 0.4498 0.0522
6 Cu 0.2751 0.5502 0.9478
7 Cu 0.9563 0.9126 0.6134
8 Pt 0.3894 0.7788 0.7271
9 Pt 0.6106 0.2212 0.2729

Properties
- spin magnetization (μB/f.u.) = 0.00
- energy of formation from the pure elements (eV per atom) = -0.5573
- calculated volume (Å³ per atom) = 20.991
- symmetry = C2/m, No. 12
- crystal system = monoclinic
- ρ (g cm⁻³) = 9.379



Entry 9:
The following is a PBE calculation of an optimized crystal structure of PrCu5Pt7, from Alexandria via LeMat-Bulk.

a b c (Å): 5.0529 6.8017 6.8017
angles (deg): 81.65 68.20 68.20
Element x y z (fractional)
1 Pt 0.2766 0.2234 0.2234
2 Pt 0.6516 0.3484 0.3484
3 Pt 0.5012 0.7810 0.2167
4 Pt 0.9992 0.3472 0.6543
5 Pt 0.5012 0.2167 0.7810
6 Pt 0.9992 0.6543 0.3472
7 Pt 0.3448 0.6552 0.6552
8 Cu 0.5014 0.9955 0.5052
9 Cu 0.5014 0.5052 0.9955
10 Cu 0.9980 0.9955 0.5052
11 Cu 0.7283 0.7717 0.7717
12 Cu 0.9980 0.5052 0.9955
13 Pr 0.9992 0.0008 0.0008

Properties
- spin magnetization (μB/f.u.) = 0.00
- energy of formation from the pure elements (eV per atom) = -0.3391
- calculated volume (Å³ per atom) = 15.500
- symmetry = Imm2, No. 44
- crystal system = orthorhombic
- ρ (g cm⁻³) = 15.033



Entry 10:
The following is a PBE calculation of an optimized crystal structure of Pr2Cu2Pt15, from Alexandria via LeMat-Bulk.

a b c (Å): 6.9893 6.9893 6.9893
angles (deg): 83.28 83.28 83.28
Element x y z (fractional)
1 Pt 0.0000 0.6913 0.3087
2 Pt 0.6913 0.0000 0.3087
3 Pt 0.3431 0.3431 0.8433
4 Pt 0.1567 0.6569 0.6569
5 Pt 0.8433 0.3431 0.3431
6 Pt 0.3087 0.0000 0.6913
7 Pt 0.5000 0.0000 0.0000
8 Pt 0.0000 0.3087 0.6913
9 Pt 0.6569 0.1567 0.6569
10 Pt 0.3087 0.6913 0.0000
11 Pt 0.6913 0.3087 0.0000
12 Pt 0.0000 0.0000 0.5000
13 Pt 0.6569 0.6569 0.1567
14 Pt 0.3431 0.8433 0.3431
15 Pt 0.0000 0.5000 0.0000
16 Cu 0.0940 0.0940 0.0940
17 Cu 0.9060 0.9060 0.9060
18 Pr 0.3392 0.3392 0.3392
19 Pr 0.6608 0.6608 0.6608

Properties
- spin magnetization (μB/f.u.) = 0.00
- energy of formation from the pure elements (eV per atom) = -0.4332
- calculated volume (Å³ per atom) = 17.626
- symmetry = R-3m, No. 166
- crystal system = trigonal
- ρ (g cm⁻³) = 16.537



Entry 11:
The following is a PBE calculation of an optimized crystal structure of Pr3Cu3Pt2, from Alexandria via LeMat-Bulk.

a b c (Å): 4.2675 5.7617 15.6854
angles (deg): 90.00 90.00 111.74
Element x y z (fractional)
1 Pt 0.1754 0.3509 0.3837
2 Pt 0.8246 0.6491 0.8837
3 Pt 0.8246 0.6491 0.6163
4 Pt 0.1754 0.3509 0.1163
5 Cu 0.3200 0.6400 0.2500
6 Cu 0.5840 0.1681 0.0509
7 Cu 0.6800 0.3600 0.7500
8 Cu 0.4160 0.8319 0.9491
9 Cu 0.4160 0.8319 0.5509
10 Cu 0.5840 0.1681 0.4491
11 Pr 0.1255 0.2510 0.5882
12 Pr 0.3953 0.7905 0.7500
13 Pr 0.8745 0.7490 0.4118
14 Pr 0.6047 0.2095 0.2500
15 Pr 0.8745 0.7490 0.0882
16 Pr 0.1255 0.2510 0.9118

Properties
- spin magnetization (μB/f.u.) = 0.00
- energy of formation from the pure elements (eV per atom) = -0.6063
- calculated volume (Å³ per atom) = 22.391
- symmetry = Cmcm, No. 63
- crystal system = orthorhombic
- ρ (g cm⁻³) = 9.303



Entry 12:
The following is a PBE calculation of an optimized crystal structure of PrCuPt, from Alexandria via LeMat-Bulk.

a b c (Å): 3.8002 4.4063 4.4063
angles (deg): 120.00 90.00 90.00
Element x y z (fractional)
1 Cu 0.1667 0.6667 0.3333
2 Pt 0.1666 0.0000 0.0000
3 Pr 0.6667 0.3333 0.6667

Properties
- spin magnetization (μB/f.u.) = 0.00
- energy of formation from the pure elements (eV per atom) = -0.7121
- calculated volume (Å³ per atom) = 21.300
- symmetry = P-6m2, No. 187
- crystal system = hexagonal
- ρ (g cm⁻³) = 10.383
- distance to the lowest polymorph of the same formula (kJ/mol of atoms) = 1.4